(1)
First-principles (GGA-PBE) data for Cd2InHgI after structural relaxation, as listed in Alexandria.

```
Cd2InHgI
1.0
5.5018 0.0000 0.0000
0.0000 5.5018 0.0000
0.0000 0.0000 5.7419
Cd In Hg I
2 1 1 1
Cartesian
0.0000 2.7509 0.0000
2.7509 0.0000 0.0000
0.0000 0.0000 2.8709
0.0000 0.0000 0.0000
2.7509 2.7509 2.8709
```

Results
Uncorrected formation energy ... -0.011 eV/atom
VASP energy ... -6.5 eV per formula unit

***

(2)
First-principles (GGA-PBE) data for KCdHgI2 after structural relaxation, as listed in Alexandria.

```
KCdHgI2
1.0
6.3035 0.0000 0.0000
0.0000 6.3035 0.0000
0.0000 0.0000 5.5381
K Cd Hg I
1 1 1 2
Cartesian
0.0000 0.0000 0.0000
3.1517 3.1517 2.7691
3.1517 3.1517 0.0000
0.0000 3.1517 2.7691
3.1517 0.0000 2.7691
```

Results
Uncorrected formation energy ... -0.615 eV/atom
VASP energy ... -8.5 eV per formula unit

***

(3)
First-principles (GGA-PBE) data for K2CdHgI6 after structural relaxation, as listed in Alexandria.

```
K2CdHgI6
1.0
8.3519 0.0000 0.0000
-4.1715 7.2359 0.0000
-0.0041 -4.8206 8.6541
K Cd Hg I
2 1 1 6
Cartesian
0.0000 0.0000 0.0000
0.0021 4.8242 4.2690
4.1780 2.4091 2.3497
-0.0001 0.0045 6.7971
-3.0445 4.9045 2.4738
-1.0638 2.5527 6.8786
1.4526 2.1401 2.4762
2.7391 -0.3437 6.8726
5.7763 0.1857 2.4808
6.6797 -2.1919 6.8756
```

Results
Uncorrected formation energy ... -0.831 eV/atom
VASP energy ... -21.0 eV per formula unit

***

(4)
First-principles (GGA-PBE) data for Li2CdHgI6 after structural relaxation, as listed in Alexandria.

```
Li2CdHgI6
1.0
7.6188 0.0000 0.0000
-3.8043 6.6098 0.0000
-3.7994 -2.1955 7.0892
Li Cd Hg I
2 1 1 6
Cartesian
0.0000 0.0000 0.0000
-3.7931 2.2109 4.2783
0.0094 0.0050 6.7175
0.0176 4.4124 1.9004
-2.7592 4.3144 1.9933
-5.1614 4.3602 5.5879
-1.2475 2.3218 5.5870
1.4909 2.0522 1.9881
2.6467 -0.0507 5.5897
5.1304 0.2562 1.9886
```

Results
Uncorrected formation energy ... -0.695 eV/atom
VASP energy ... -21.3 eV per formula unit

***

(5)
First-principles (GGA-PBE) data for CdHgMo2I after structural relaxation, as listed in Alexandria.

```
CdHgMo2I
1.0
5.4386 0.0000 0.0000
0.0000 5.4386 0.0000
0.0000 0.0000 5.9701
Cd Hg Mo I
1 1 2 1
Cartesian
0.0000 0.0000 0.0000
2.7193 2.7193 2.9851
0.0000 2.7193 2.9851
2.7193 0.0000 2.9851
2.7193 2.7193 0.0000
```

Results
Uncorrected formation energy ... 1.877 eV/atom
VASP energy ... -15.0 eV per formula unit

***

(6)
First-principles (GGA-PBE) data for CdHgI2N after structural relaxation, as listed in Alexandria.

```
CdHgI2N
1.0
6.1186 0.0000 0.0000
0.0000 6.1186 0.0000
0.0000 0.0000 4.3372
Cd Hg I N
1 1 2 1
Cartesian
0.0000 0.0000 0.0000
3.0593 3.0593 2.1686
0.0000 3.0593 0.0000
3.0593 0.0000 0.0000
0.0000 0.0000 2.1686
```

Results
Uncorrected formation energy ... 0.645 eV/atom
VASP energy ... -9.4 eV per formula unit

***

(7)
First-principles (GGA-PBE) data for CdHgI2N after structural relaxation, as listed in Alexandria.

```
CdHgI2N
1.0
6.2429 0.0000 0.0000
0.0000 6.2429 0.0000
0.0000 0.0000 4.1658
Cd Hg I N
1 1 2 1
Cartesian
0.0000 0.0000 0.0000
3.1214 3.1214 2.0829
0.0000 3.1214 2.0829
3.1214 0.0000 2.0829
3.1214 3.1214 0.0000
```

Results
Uncorrected formation energy ... 0.797 eV/atom
VASP energy ... -8.7 eV per formula unit

***

(8)
First-principles (GGA-PBE) data for NbCdHg2I after structural relaxation, as listed in Alexandria.

```
NbCdHg2I
1.0
5.7257 0.0000 0.0000
0.0000 5.7257 0.0000
0.0000 0.0000 5.4014
Nb Cd Hg I
1 1 2 1
Cartesian
0.0000 0.0000 0.0000
2.8628 2.8628 2.7007
0.0000 2.8628 0.0000
2.8628 0.0000 0.0000
0.0000 0.0000 2.7007
```

Results
Uncorrected formation energy ... 0.445 eV/atom
VASP energy ... -10.9 eV per formula unit

***

- Which of these has the lowest VASP energy?
  Li2CdHgI6